(1)
Material: TbGe2
Method: DFT, PBE-GGA
State: relaxed

Output
The formation energy is -167 kJ/mol of formula units. Its crystal system is monoclinic. As for the density of states at the Fermi level: 0.7 states/eV/f.u.

Geometry as CIF:
```
data_TbGe2
_chemical_formula_sum 'Tb4 Ge8'
_cell_length_a 10.7905
_cell_length_b 4.0645
_cell_length_c 6.0040
_cell_angle_alpha 90.00
_cell_angle_beta 94.17
_cell_angle_gamma 90.00
_symmetry_space_group_name_H-M 'C 1 m 1'
_symmetry_Int_Tables_number 8
loop_
_symmetry_equiv_pos_as_xyz
'x,y,z'
'x,-y,z'
'x+1/2,y+1/2,z'
'x+1/2,-y+1/2,z'
loop_
_atom_site_label
_atom_site_fract_x
_atom_site_fract_y
_atom_site_fract_z
_atom_site_occupancy
Tb1 0.0000 0.0000 0.0000 1
Tb2 0.1979 0.5000 0.5200 1
Ge1 0.2072 0.5000 0.0134 1
Ge2 0.3302 0.0000 0.2020 1
Ge3 0.3879 0.0000 0.6692 1
Ge4 0.4985 0.5000 0.4943 1
```

---

(2)
Material: TbGe4
Method: DFT, PBE-GGA
State: relaxed

Output
The formation energy is 420 kJ/mol of formula units. Its crystal system is cubic. As for the density of states at the Fermi level: 4.5 states/eV/f.u.

Geometry as CIF:
```
data_TbGe4
_chemical_formula_sum 'Tb1 Ge4'
_cell_length_a 5.3632
_cell_length_b 5.3632
_cell_length_c 5.3632
_cell_angle_alpha 90.00
_cell_angle_beta 90.00
_cell_angle_gamma 90.00
_symmetry_space_group_name_H-M 'P m -3 m'
_symmetry_Int_Tables_number 221
_symmetry_space_group_name_Hall '-P 4 2 3'
loop_
_atom_site_label
_atom_site_fract_x
_atom_site_fract_y
_atom_site_fract_z
_atom_site_occupancy
Tb1 0.0000 0.0000 0.0000 1
Ge1 0.0000 0.0000 0.5000 1
Ge2 0.5000 0.5000 0.5000 1
```

---

(3)
Material: Tb4Ge
Method: DFT, PBE-GGA
State: relaxed

Output
The formation energy is -10 kJ/mol of formula units. Its crystal system is cubic. As for the density of states at the Fermi level: 9.5 states/eV/f.u.

Geometry as CIF:
```
data_Tb4Ge
_chemical_formula_sum 'Tb4 Ge1'
_cell_length_a 5.5405
_cell_length_b 5.5405
_cell_length_c 5.5405
_cell_angle_alpha 90.00
_cell_angle_beta 90.00
_cell_angle_gamma 90.00
_symmetry_space_group_name_H-M 'P m -3 m'
_symmetry_Int_Tables_number 221
_symmetry_space_group_name_Hall '-P 4 2 3'
loop_
_atom_site_label
_atom_site_fract_x
_atom_site_fract_y
_atom_site_fract_z
_atom_site_occupancy
Tb1 0.0000 0.0000 0.0000 1
Tb2 0.0000 0.5000 0.5000 1
Ge1 0.5000 0.5000 0.5000 1
```

---

(4)
Material: TbGe2
Method: DFT, PBE-GGA
State: relaxed

Output
The formation energy is -171 kJ/mol of formula units. Its crystal system is orthorhombic. As for the density of states at the Fermi level: 1.3 states/eV/f.u.

Geometry as CIF:
```
data_TbGe2
_chemical_formula_sum 'Tb8 Ge16'
_cell_length_a 4.2328
_cell_length_b 30.3906
_cell_length_c 4.0241
_cell_angle_alpha 90.00
_cell_angle_beta 90.00
_cell_angle_gamma 90.00
_symmetry_space_group_name_H-M 'C m m m'
_symmetry_Int_Tables_number 65
_symmetry_space_group_name_Hall '-C 2 2'
loop_
_atom_site_label
_atom_site_fract_x
_atom_site_fract_y
_atom_site_fract_z
_atom_site_occupancy
Tb1 0.0000 0.0717 0.0000 1
Tb2 0.0000 0.1872 0.5000 1
Ge1 0.0000 0.0000 0.5000 1
Ge2 0.0000 0.2711 0.0000 1
Ge3 0.0000 0.3535 0.0000 1
Ge4 0.0000 0.4094 0.5000 1
Ge5 0.0000 0.5000 0.0000 1
```